Entry from Alexandria: an optimized crystal structure of Li4Tl3 (GGA-PBE).

a = 8.1334 Å, b = 8.1334 Å, c = 8.1334 Å
α = 34.70°, β = 34.70°, γ = 34.70°
Fractional positions:
Li 0.1199 0.1199 0.1199
Li 0.3735 0.3735 0.3735
Li 0.6265 0.6265 0.6265
Li 0.8801 0.8801 0.8801
Tl 0.2504 0.2504 0.2504
Tl 0.5000 0.5000 0.5000
Tl 0.7496 0.7496 0.7496

Calculated values
- crystal system = trigonal
- offset from the most stable computed form (meV/atom) = 59
- space group = R-3m, No. 166